Entry 1:
DFT (meta-GGA SCAN) results for a PBEsol-optimized structure of NaCoO2F.

Size of the total moment = 1.000 μB/atom
Uncorrected formation energy = -0.0826 eV/atom
E = -7.59 eV/atom
Calculated density = 3.6 g/cm3
Calculated volume = 61.1 Å³/cell

Lattice parameters (Å, degrees): 3.978 3.978 3.863 90.00 90.00 90.00
Space group P4/mmm (No. 123)
Inequivalent atoms, fractional coordinates:
Na 0.000 0.000 0.000 [1 per cell]
Co 0.500 0.500 0.500 [1 per cell]
O 0.000 0.500 0.000 [2 per cell]
F 0.000 0.000 0.500 [1 per cell]

---

Entry 2:
DFT (meta-GGA SCAN) results for a PBEsol-optimized structure of NaZr2CoF11.

Size of the total moment = 0.200 μB/atom
Uncorrected formation energy = -3.5222 eV/atom
E = -11.65 eV/atom
Calculated density = 3.7 g/cm3
Calculated volume = 423.0 Å³/cell

Lattice parameters (Å, degrees): 9.088 6.684 7.760 90.00 116.20 90.00
Space group C2/m (No. 12)
Inequivalent atoms, fractional coordinates:
Na 0.000 0.000 0.000 [2 per cell]
Zr 0.008 0.500 0.237 [4 per cell]
Co 0.000 0.000 0.500 [2 per cell]
F 0.000 0.328 0.000 [4 per cell]
F 0.000 0.500 0.500 [2 per cell]
F 0.019 0.203 0.313 [8 per cell]
F 0.231 0.500 0.890 [4 per cell]
F 0.243 0.000 0.649 [4 per cell]